Record 1
B3Ir2 PBE optimized geometry; VASP energy = -7.643 eV per atom; energy of formation = -0.092 eV/atom; space group = C2/m (12)
1.0
5.2329 -1.5777 0.0000
5.2329 1.5777 0.0000
-0.0253 0.0000 6.2093
B Ir
6 4
direct
0.0589 0.0589 0.3849
0.2384 0.2384 0.0733
0.3260 0.3260 0.5255
0.6740 0.6740 0.4745
0.7616 0.7616 0.9267
0.9411 0.9411 0.6151
0.1408 0.1408 0.7018
0.3974 0.3974 0.8510
0.6026 0.6026 0.1490
0.8592 0.8592 0.2982



Record 2
RhSeCl2 PBE optimized geometry; formation energy without anion corrections = -0.37 eV per atom; VASP energy = -3.999 eV per atom; space group = Cm (8)
1.0
3.2636 -1.8622 0.0000
3.2636 1.8622 0.0000
-0.6892 0.0000 7.9627
Rh Se Cl
1 1 2
direct
0.0000 0.0000 0.0000
0.3484 0.3484 0.1410
0.3990 0.3990 0.4268
0.6481 0.6481 0.8218



Record 3
LaY5Th PBE optimized geometry; VASP energy = -6.188 eV per atom; energy of formation = 0.193 eV/atom; space group = C2/c (15)
1.0
3.1145 -8.8591 0.0000
3.1145 8.8591 0.0000
-1.9335 0.0000 8.5882
La Y Th
2 10 2
direct
0.0111 0.9889 0.7500
0.9889 0.0111 0.2500
0.0383 0.7210 0.0404
0.1104 0.4829 0.3539
0.2790 0.9617 0.4596
0.3536 0.6464 0.7500
0.4829 0.1104 0.8539
0.5171 0.8896 0.1461
0.6464 0.3536 0.2500
0.7210 0.0383 0.5404
0.8896 0.5171 0.6461
0.9617 0.2790 0.9596
0.5000 0.5000 0.0000
0.5000 0.5000 0.5000



Record 4
NiSbP PBE optimized geometry; formation energy without anion corrections = -0.16 eV per atom; VASP energy = -5.261 eV per atom; space group = Aem2 (39)
1.0
4.3703 0.0000 0.0000
0.0000 2.1479 5.9049
0.0000 -2.1479 5.9049
Ni Sb P
2 2 2
direct
0.1741 0.2500 0.7500
0.8259 0.7500 0.2500
0.2717 0.4766 0.9766
0.7283 0.9766 0.4766
0.3232 0.7069 0.2069
0.6768 0.2069 0.7069



Record 5
Y12Co6Ge PBE optimized geometry; VASP energy = -6.829 eV per atom; energy of formation = -0.260 eV/atom; space group = Im-3 (204)
1.0
-4.8197 4.8197 4.8197
4.8197 -4.8197 4.8197
4.8197 4.8197 -4.8197
Y Co Ge
12 6 1
direct
0.1063 0.3005 0.8057
0.1943 0.4948 0.3005
0.1943 0.8937 0.6995
0.3005 0.1943 0.4948
0.3005 0.8057 0.1063
0.4948 0.3005 0.1943
0.5052 0.6995 0.8057
0.6995 0.1943 0.8937
0.6995 0.8057 0.5052
0.8057 0.1063 0.3005
0.8057 0.5052 0.6995
0.8937 0.6995 0.1943
0.1128 0.5000 0.6128
0.3872 0.8872 0.5000
0.5000 0.3872 0.8872
0.5000 0.6128 0.1128
0.6128 0.1128 0.5000
0.8872 0.5000 0.3872
0.0000 0.0000 0.0000



Record 6
GeIN2O PBE optimized geometry; formation energy without anion corrections = 0.92 eV per atom; VASP energy = -4.631 eV per atom; space group = P4/mmm (123)
1.0
4.0050 0.0000 0.0000
0.0000 4.0050 0.0000
0.0000 0.0000 3.6737
Ge I N O
1 1 2 1
direct
0.0000 0.0000 0.0000
0.5000 0.5000 0.5000
0.0000 0.5000 0.0000
0.5000 0.0000 0.0000
0.0000 0.0000 0.5000